DFT (PBE) results for a relaxed structure of TaTc3Hg.

Cell: 4.762 4.762 4.762 Å, 90.00 90.00 90.00°
Site moments in Bohr magnetons follow the coordinates.
Positions (direct):
1 Tc 0.000 0.500 0.000  0.93
2 Tc 0.000 0.000 0.500  0.87
3 Tc 0.500 0.000 0.000  0.98
4 Hg 0.500 0.500 0.500  -0.02
5 Ta 0.000 0.000 0.000  -0.12

## Properties
relative energy among the computed polymorphs = 0 meV/atom
symmetry = Pm-3m (221)

***

DFT (PBE) results for a relaxed structure of TaTc2Hg.

Cell: 9.781 9.781 9.781 Å, 16.79 16.79 16.79°
Positions (direct):
1 Hg 0.503 0.503 0.503
2 Ta 0.745 0.745 0.745
3 Tc 0.994 0.994 0.994
4 Tc 0.257 0.257 0.257

## Properties
symmetry = R3m (160)

***

DFT (PBE) results for a relaxed structure of TaTc2Hg.

Cell: 2.921 2.921 8.032 Å, 90.00 90.00 90.00°
Positions (direct):
1 Hg 0.000 0.000 0.490
2 Ta 0.500 0.500 0.772
3 Tc 0.000 0.000 0.025
4 Tc 0.500 0.500 0.213

## Properties
symmetry = P4mm (99)

***

DFT (PBE) results for a relaxed structure of TaTc2Hg.

Cell: 3.402 3.402 5.955 Å, 90.00 90.00 90.00°
Positions (direct):
1 Hg 0.000 0.000 0.495
2 Ta 0.500 0.500 0.788
3 Tc 0.000 0.000 0.007
4 Tc 0.500 0.500 0.210

## Properties
symmetry = P4mm (99)

***

Number 1: DFT formation energy 799 kJ/mol of formula units, electronic total energy -35.0 eV/cell. Number 2: DFT formation energy 104 kJ/mol of formula units, electronic total energy -31.8 eV/cell. Number 3: DFT formation energy 74 kJ/mol of formula units, electronic total energy -32.1 eV/cell. Number 4: DFT formation energy 110 kJ/mol of formula units, electronic total energy -31.7 eV/cell.